Entry from Alexandria via LeMat-Bulk: crystalline Cr2CdRh at its relaxed geometry (PBE).

Calculated values
M_tot: 0.7 Bohr magnetons per cell
energy relative to the elements: 0.14 eV/atom
space-group type: P4mm, No. 99
DOS(E_F): 3.3 states/eV per cell

Structure (POSCAR):
```
Cr2CdRh
1.0
3.006 0.000 0.000
0.000 3.006 0.000
0.000 0.000 6.611
Cr Cd Rh
2 1 1
direct
0.000 0.000 0.000 Cr
0.500 0.500 0.183 Cr
0.000 0.000 0.478 Cd
0.500 0.500 0.761 Rh
```